(1)
A relaxed Ta2BeZn crystal. Source: Alexandria, functional GGA-PBE.

It has space group Amm2 (No. 38), with a = 3.7756 Å, b = 3.1064 Å, c = 10.1831 Å, α = 90.00°, β = 90.00° and γ = 90.00°. The inequivalent atoms are Ta at (0.0000, 0.0000, 0.0000), Ta at (0.5000, 0.0000, 0.3371), Be at (0.0000, 0.0000, 0.7398) and Zn at (0.5000, 0.0000, 0.6126).

The value obtained for the spin magnetization is 0.0 Bohr magnetons per cell. The calculation puts the formation energy at 1 meV/atom. The value obtained for the energy above the lowest structure with this stoichiometry is 0.0083 eV/atom. The total DFT energy (no corrections) is -7.18 eV per atom. The density of states at the Fermi level is 5.07 states/eV/cell.

(2)
A relaxed La3Hg13 crystal. Source: Alexandria, functional GGA-PBE.

It has space group Amm2 (No. 38), with a = 10.2586 Å, b = 7.2193 Å, c = 11.5310 Å, α = 90.00°, β = 90.00° and γ = 90.00°. The inequivalent atoms are La at (0.0000, 0.0000, 0.0000), La at (0.2526, 0.0000, 0.3286), Hg at (0.0000, 0.0000, 0.5088), Hg at (0.0000, 0.2455, 0.2499), Hg at (0.2407, 0.0000, 0.8131), Hg at (0.2578, 0.2469, 0.0729), Hg at (0.5000, 0.0000, 0.1254), Hg at (0.5000, 0.0000, 0.5389) and Hg at (0.5000, 0.2072, 0.8293).

The value obtained for the spin magnetization is 0.0 Bohr magnetons per cell. The calculation puts the formation energy at -310 meV/atom. The total DFT energy (no corrections) is -1.48 eV per atom. The density of states at the Fermi level is 20.48 states/eV/cell.

(3)
A relaxed La4Cd5Pt2 crystal. Source: Alexandria, functional GGA-PBE.

It has space group P2/m (No. 10), with a = 7.9114 Å, b = 3.8632 Å, c = 9.9550 Å, α = 90.00°, β = 94.18° and γ = 90.00°. The inequivalent atoms are La at (0.1681, 0.0000, 0.3556), La at (0.2304, 0.0000, 0.9469), Cd at (0.1909, 0.5000, 0.6519), Cd at (0.4532, 0.5000, 0.1888), Cd at (0.5000, 0.5000, 0.5000) and Pt at (0.0703, 0.5000, 0.1406).

The value obtained for the spin magnetization is 0.0 Bohr magnetons per cell. The calculation puts the formation energy at -616 meV/atom. The total DFT energy (no corrections) is -3.92 eV per atom. The density of states at the Fermi level is 9.36 states/eV/cell.